# 1
VASP calculation (PBE-GGA) on a relaxed structure of RbHg2Ge2.

abc: 8.8734 8.8734 3.3463
angles: 90.00 90.00 90.00
With the nearest neighbours (Å) after each atom.
Fractional positions:
1 Hg 0.6632 0.8368 0.5000  6 Ge 3.04-3.19, 2 Hg 3.35
2 Hg 0.1632 0.6632 0.5000  6 Ge 3.04-3.19, 2 Hg 3.35
3 Rb 0.0000 0.0000 0.0000  2 Rb 3.35, 4 Ge 3.54, 8 Hg 3.72
4 Ge 0.1200 0.3800 0.0000  3 Ge 3.01-3.35, 6 Hg 3.04-3.19
5 Ge 0.3800 0.8800 0.0000  3 Ge 3.01-3.35, 6 Hg 3.04-3.19
6 Hg 0.3368 0.1632 0.5000  6 Ge 3.04-3.19, 2 Hg 3.35
7 Rb 0.5000 0.5000 0.0000  2 Rb 3.35, 4 Ge 3.54, 8 Hg 3.72
8 Ge 0.6200 0.1200 0.0000  3 Ge 3.01-3.35, 6 Hg 3.04-3.19
9 Hg 0.8368 0.3368 0.5000  6 Ge 3.04-3.19, 2 Hg 3.35
10 Ge 0.8800 0.6200 0.0000  3 Ge 3.01-3.35, 6 Hg 3.04-3.19

Output
Calculated formation energy   0.140 eV/atom
Polymorph energy (0 for the lowest one)   166.4 meV/atom
Theoretical density   7.97 g cm⁻³
Space-group type   No. 127
E_tot   -2.022 eV per atom

=====

# 2
VASP calculation (PBE-GGA) on a relaxed structure of CoGeC3.

abc: 3.8792 3.8792 3.8792
angles: 90.00 90.00 90.00
With the nearest neighbours (Å) after each atom.
Fractional positions:
1 C 0.0000 0.5000 0.0000  2 Ge 1.94
2 C 0.0000 0.0000 0.5000  2 Ge 1.94
3 Co 0.5000 0.5000 0.5000  12 C 2.74
4 C 0.5000 0.0000 0.0000  2 Ge 1.94
5 Ge 0.0000 0.0000 0.0000  6 C 1.94

Output
Calculated formation energy   2.900 eV/atom
Polymorph energy (0 for the lowest one)   761.9 meV/atom
Theoretical density   4.77 g cm⁻³
Space-group type   No. 221
E_tot   -4.979 eV per atom

=====

# 3
VASP calculation (PBE-GGA) on a relaxed structure of CdCo2Br.

abc: 5.3006 5.3006 5.3006
angles: 146.96 118.03 72.05
With the nearest neighbours (Å) after each atom.
Fractional positions:
1 Cd 0.7500 0.2500 0.5000  4 Co 2.75, 2 Cd 3.01
2 Br 0.2500 0.7500 0.5000  4 Co 2.49
3 Co 0.4815 0.4815 0.0000  2 Br 2.49, 2 Cd 2.75
4 Co 0.0185 0.0185 0.0000  2 Br 2.49, 2 Cd 2.75

Output
Polymorph energy (0 for the lowest one)   398.2 meV/atom
Theoretical density   7.30 g cm⁻³
Space-group type   No. 71
E_tot   -3.475 eV per atom
Energy relative to the elements, uncorrected   0.725 eV per atom

=====

# 4
VASP calculation (PBE-GGA) on a relaxed structure of BeAu2Se.

abc: 4.5809 4.5809 4.5809
angles: 60.00 60.00 60.00
With the nearest neighbours (Å) after each atom.
Fractional positions:
1 Au 0.2500 0.2500 0.2500  4 Se 2.81, 4 Be 2.81
2 Se 0.5000 0.5000 0.5000  8 Au 2.81
3 Au 0.7500 0.7500 0.7500  4 Be 2.81, 4 Se 2.81
4 Be 0.0000 0.0000 0.0000  8 Au 2.81

Output
Polymorph energy (0 for the lowest one)   396.8 meV/atom
Theoretical density   11.77 g cm⁻³
Space-group type   No. 225
E_tot   -3.082 eV per atom
Energy relative to the elements, uncorrected   0.359 eV per atom

=====

# 5
VASP calculation (PBE-GGA) on a relaxed structure of Pm2PrDy6Y3.

abc: 6.2076 6.2076 11.8612
angles: 94.99 94.99 119.96
With the nearest neighbours (Å) after each atom.
Fractional positions:
1 Pr 0.0000 0.0000 0.0000  6 Pm 3.58, 6 Dy 3.60-3.61
2 Dy 0.4186 0.0850 0.2524  3 Y 3.55-3.56, 6 Dy 3.58-3.59, 2 Pm 3.60, 1 Pr 3.61
3 Dy 0.0850 0.4186 0.2524  3 Y 3.55-3.56, 6 Dy 3.58-3.59, 2 Pm 3.60, 1 Pr 3.61
4 Y 0.5000 0.5000 0.5000  6 Dy 3.56, 6 Y 3.58-3.59
5 Pm 0.3335 0.6665 0.0000  3 Pm 3.58-3.59, 3 Pr 3.58, 6 Dy 3.60
6 Dy 0.9150 0.5814 0.7476  3 Y 3.55-3.56, 6 Dy 3.58-3.59, 2 Pm 3.60, 1 Pr 3.61
7 Y 0.1668 0.8332 0.5000  6 Dy 3.55-3.56, 6 Y 3.58-3.59
8 Pm 0.6665 0.3335 0.0000  3 Pm 3.58-3.59, 3 Pr 3.58, 6 Dy 3.60
9 Dy 0.5814 0.9150 0.7476  3 Y 3.55-3.56, 6 Dy 3.58-3.59, 2 Pm 3.60, 1 Pr 3.61
10 Dy 0.2488 0.2488 0.7475  3 Y 3.56, 6 Dy 3.58-3.59, 1 Pr 3.60, 2 Pm 3.60
11 Y 0.8332 0.1668 0.5000  6 Dy 3.55-3.56, 6 Y 3.58-3.59
12 Dy 0.7512 0.7512 0.2525  3 Y 3.56, 6 Dy 3.58-3.59, 1 Pr 3.60, 2 Pm 3.60

Output
Calculated formation energy   0.018 eV/atom
Theoretical density   7.12 g cm⁻³
Space-group type   No. 12
E_tot   -5.089 eV per atom

=====

# 6
VASP calculation (PBE-GGA) on a relaxed structure of TcHgSb2H.

abc: 5.6773 3.3610 5.6773
angles: 90.00 90.00 90.00
With the nearest neighbours (Å) after each atom.
Fractional positions:
1 Sb 0.0000 0.0000 0.5000  2 Hg 2.84
2 Sb 0.5000 0.0000 0.0000  2 Hg 2.84
3 H 0.0000 0.5000 0.0000  2 Hg 1.68
4 Hg 0.0000 0.0000 0.0000  2 H 1.68
5 Tc 0.5000 0.5000 0.5000  8 Sb 3.30, 2 Tc 3.36

Output
Polymorph energy (0 for the lowest one)   0.0 meV/atom
Theoretical density   8.33 g cm⁻³
Space-group type   No. 123
E_tot   -3.605 eV per atom

=====

# 7
VASP calculation (PBE-GGA) on a relaxed structure of PuMgO4.

abc: 4.9366 5.1929 6.0395
angles: 90.00 90.00 90.00
With the nearest neighbours (Å) after each atom.
Fractional positions:
1 Mg 0.0000 0.5000 0.1691  4 O 2.04-2.12
2 O 0.2162 0.3076 0.8737  1 Pu 1.92, 1 Mg 2.12
3 O 0.2714 0.8219 0.6147  1 Mg 2.04, 2 Pu 2.15-2.18
4 Pu 0.5000 0.0000 0.3540  4 O 1.92-2.15
5 O 0.2838 0.3076 0.3737  1 Pu 1.92, 1 Mg 2.12
6 Mg 0.5000 0.5000 0.6691  4 O 2.04-2.12
7 O 0.7838 0.6924 0.8737  1 Pu 1.92, 1 Mg 2.12
8 O 0.2286 0.8219 0.1147  1 Mg 2.04, 2 Pu 2.15-2.18
9 O 0.7162 0.6924 0.3737  1 Pu 1.92, 1 Mg 2.12
10 O 0.7286 0.1781 0.6147  1 Mg 2.04, 2 Pu 2.15-2.18
11 Pu 0.0000 0.0000 0.8540  4 O 1.92-2.15
12 O 0.7714 0.1781 0.1147  1 Mg 2.04, 2 Pu 2.15-2.18

Output
Theoretical density   7.13 g cm⁻³
Space-group type   No. 30
E_tot   -8.552 eV per atom
Energy relative to the elements, uncorrected   -2.592 eV per atom

=====

# 8
VASP calculation (PBE-GGA) on a relaxed structure of BeFeAs2.

abc: 4.2174 4.2174 4.2174
angles: 60.00 60.00 60.00
With the nearest neighbours (Å) after each atom.
Fractional positions:
1 As 0.2500 0.2500 0.2500  4 Fe 2.58, 4 Be 2.58
2 Fe 0.5000 0.5000 0.5000  8 As 2.58
3 Be 0.0000 0.0000 0.0000  8 As 2.58
4 As 0.7500 0.7500 0.7500  4 Fe 2.58, 4 Be 2.58

Output
Calculated formation energy   0.359 eV/atom
Polymorph energy (0 for the lowest one)   371.0 meV/atom
Theoretical density   6.72 g cm⁻³
Space-group type   No. 225
E_tot   -5.013 eV per atom